Here is a relaxed VCuPbO5 crystal from Alexandria. Energies are from GGA+U.

Results
* calculated total energy: -6.201 eV/atom
* total magnetization: 2.22 Bohr magnetons per cell

Unit cell a=8.449 b=8.544 c=8.209 alpha=90.00 beta=119.26 gamma=90.00
Space group C2/c (No. 15)
Unique sites:
V (0.000, 0.125, 0.250) x4
Cu (0.000, 0.183, 0.750) x4
Pb (0.000, 0.500, 0.000) x4
O (0.000, 0.397, 0.750) x4
O (0.009, 0.237, 0.427) x8
O (0.182, 0.015, 0.836) x8